[1]
Entry from Alexandria via LeMat-Bulk: an optimized crystal structure of ReIr3Rh2 (PBE).

Cell and atoms, written as POSCAR:
```
ReIr3Rh2
1.0
-2.5182 -3.9965 -1.3535
4.8813 -1.3218 -5.1788
-0.8358 -1.8283 6.9537
Re Ir Rh
2 6 4
direct
0.2500 0.3506 0.6494
0.7500 0.6494 0.3506
0.7500 0.1505 0.8495
0.7500 0.0721 0.4322
0.2500 0.4322 0.0721
0.7500 0.5678 0.9279
0.2500 0.9279 0.5678
0.2500 0.8495 0.1505
0.0000 0.2544 0.2544
0.5000 0.2544 0.2544
0.0000 0.7456 0.7456
0.5000 0.7456 0.7456
```

Computed properties:
For the formation energy, the calculation gives 170 meV per atom. For the energy above the lowest structure with this stoichiometry, the calculation gives 277.9 meV/atom. The total energy is -8.79 eV/atom. The calculation puts the magnetic moment at 0.00 Bohr magnetons per cell.

[2]
Entry from Alexandria via LeMat-Bulk: an optimized crystal structure of BaTcAs (PBE).

Cell and atoms, written as POSCAR:
```
BaTcAs
1.0
4.2324 0.0000 0.0000
-2.1162 3.6654 0.0000
0.0000 0.0000 5.1689
As Ba Tc
1 1 1
direct
0.0000 0.0000 0.8333
0.6667 0.3333 0.3333
0.3333 0.6667 0.8333
```

Computed properties:
For the formation energy, the calculation gives -198 meV per atom. For the energy above the lowest structure with this stoichiometry, the calculation gives 301.8 meV/atom. The total energy is -5.84 eV/atom. The calculation puts the magnetic moment at 0.00 Bohr magnetons per cell.

Repeat the second record exactly.
Entry from Alexandria via LeMat-Bulk: an optimized crystal structure of BaTcAs (PBE).

Cell and atoms, written as POSCAR:
```
BaTcAs
1.0
4.2324 0.0000 0.0000
-2.1162 3.6654 0.0000
0.0000 0.0000 5.1689
As Ba Tc
1 1 1
direct
0.0000 0.0000 0.8333
0.6667 0.3333 0.3333
0.3333 0.6667 0.8333
```

Computed properties:
For the formation energy, the calculation gives -198 meV per atom. For the energy above the lowest structure with this stoichiometry, the calculation gives 301.8 meV/atom. The total energy is -5.84 eV/atom. The calculation puts the magnetic moment at 0.00 Bohr magnetons per cell.

> What is the energy above the lowest structure with this stoichiometry in the second record?

301.8 meV/atom

> magnetic moment of number 2 (BaTcAs)?

0.00 Bohr magnetons per cell